(P)
# YIr2Ru

Crystalline YIr2Ru at its relaxed geometry (PBE-GGA, the Alexandria database).

## Properties
Density, g cm⁻³: 14.20
Total moment, μB per atom: 0.0000

Lattice parameters (Å, degrees): 4.9927 4.9927 4.9927 132.10 132.11 70.07
Element x y z (fractional)
Ir 0.5000 0.5000 0.0000
Ir 0.0000 0.0000 0.0000
Ru 0.7500 0.2500 0.5000
Y 0.2500 0.7500 0.5000

***

(Q)
# YIr2Ru

Crystalline YIr2Ru at its relaxed geometry (PBE-GGA, the Alexandria database).

## Properties
Density, g cm⁻³: 14.32
Total moment, μB per atom: 0.0674

Lattice parameters (Å, degrees): 9.5027 9.5027 9.5027 17.35 17.35 17.35
Element x y z (fractional)
Ru 0.2500 0.2500 0.2500
Y 0.7500 0.7500 0.7500
Ir 0.9924 0.9924 0.9924
Ir 0.5076 0.5076 0.5076

***

Which of them is the most stable, and which is the least stable? (P) and (Q), in that order.

***

(P)
# YIrRu

Crystalline YIrRu at its relaxed geometry (PBE-GGA, the Alexandria database).

## Properties
Density, g cm⁻³: 10.03
Total moment, μB per atom: 0.0002

Lattice parameters (Å, degrees): 4.4732 4.4732 4.4732 60.00 60.00 60.00
Element x y z (fractional)
Ru 0.5000 0.5000 0.5000
Ir 0.0000 0.0000 0.0000
Y 0.2500 0.2500 0.2500

***

(Q)
# YIrRu

Crystalline YIrRu at its relaxed geometry (PBE-GGA, the Alexandria database).

## Properties
Density, g cm⁻³: 11.70
Total moment, μB per atom: 0.0000

Lattice parameters (Å, degrees): 6.4619 6.4619 6.4619 153.34 153.34 38.06
Element x y z (fractional)
Ir 0.9805 0.9805 0.0000
Ru 0.3527 0.3527 0.0000
Y 0.6668 0.6668 0.0000

***

(R)
# YIrRu

Crystalline YIrRu at its relaxed geometry (PBE-GGA, the Alexandria database).

## Properties
Density, g cm⁻³: 10.14
Total moment, μB per atom: 0.0000

Lattice parameters (Å, degrees): 4.2170 4.2170 4.0654 90.00 90.00 120.00
Element x y z (fractional)
Ru 0.6667 0.3333 0.1667
Ir 0.0000 0.0000 0.1667
Y 0.3333 0.6667 0.6667

***

Which of them is the most stable, and which is the least stable? (R) and (P), in that order.

***

(P)
# YIrRu

Crystalline YIrRu at its relaxed geometry (PBE-GGA, the Alexandria database).

## Properties
Density, g cm⁻³: 11.30
Total moment, μB per atom: 0.0000

Lattice parameters (Å, degrees): 5.0842 5.0842 6.1731 82.31 128.82 113.67
Element x y z (fractional)
Y 0.2364 0.6338 0.8702
Ir 0.0000 0.0000 0.5000
Ru 0.7546 0.0130 0.7676
Ir 0.5000 0.5000 0.5000
Ru 0.2454 0.9870 0.2324
Y 0.7636 0.3662 0.1298

***

(Q)
# YIrRu

Crystalline YIrRu at its relaxed geometry (PBE-GGA, the Alexandria database).

## Properties
Density, g cm⁻³: 11.69
Total moment, μB per atom: 0.0000

Lattice parameters (Å, degrees): 5.2131 5.3744 5.3744 60.61 60.99 60.99
Element x y z (fractional)
Y 0.1228 0.6272 0.6272
Y 0.8772 0.3728 0.3728
Ru 0.0000 0.0000 0.0000
Ir 0.5000 0.5000 0.0000
Ir 0.5000 0.0000 0.5000
Ru 0.5000 0.0000 0.0000

***

(R)
# YIrRu

Crystalline YIrRu at its relaxed geometry (PBE-GGA, the Alexandria database).

## Properties
Density, g cm⁻³: 11.23
Total moment, μB per atom: 0.0000

Lattice parameters (Å, degrees): 5.5260 5.5260 5.5260 149.23 138.85 52.25
Element x y z (fractional)
Ir 0.9627 0.9627 0.0000
Ru 0.3722 0.3722 0.0000
Y 0.6651 0.6651 0.0000

***

Which of them is the most stable, and which is the least stable? (Q) and (R), in that order.

***

(P)
# YIrRu

Crystalline YIrRu at its relaxed geometry (PBE-GGA, the Alexandria database).

## Properties
Density, g cm⁻³: 10.25
Total moment, μB per atom: 0.0000

Lattice parameters (Å, degrees): 4.4410 4.4410 4.4410 60.00 60.00 60.00
Element x y z (fractional)
Ir 0.5000 0.5000 0.5000
Y 0.0000 0.0000 0.0000
Ru 0.2500 0.2500 0.2500

***

(Q)
# YIrRu

Crystalline YIrRu at its relaxed geometry (PBE-GGA, the Alexandria database).

## Properties
Density, g cm⁻³: 11.80
Total moment, μB per atom: 0.1830

Lattice parameters (Å, degrees): 2.9732 2.9732 7.0244 90.00 90.00 120.00
Element x y z (fractional)
Y 0.6667 0.3333 0.6661
Ir 0.0000 0.0000 0.0209
Ru 0.3333 0.6667 0.3130

***

Which of them is the most stable, and which is the least stable? (P) and (Q), in that order.

***

(P)
# Y4IrRu

Crystalline Y4IrRu at its relaxed geometry (PBE-GGA, the Alexandria database).

## Properties
Density, g cm⁻³: 7.09
Total moment, μB per atom: 0.0000

Lattice parameters (Å, degrees): 6.3399 7.4906 7.8962 114.14 108.92 99.36
Element x y z (fractional)
Ru 0.7501 0.0001 0.0002
Y 0.3556 0.9536 0.6458
Y 0.9924 0.7582 0.1251
Y 0.0076 0.2418 0.8749
Y 0.3673 0.6331 0.8749
Ru 0.2499 0.9999 0.9998
Ir 0.6148 0.3648 0.7297
Y 0.6327 0.3669 0.1251
Y 0.6444 0.0464 0.3542
Y 0.7903 0.6922 0.6458
Ir 0.3852 0.6352 0.2703
Y 0.2097 0.3078 0.3542

***

(Q)
# Y4IrRu

Crystalline Y4IrRu at its relaxed geometry (PBE-GGA, the Alexandria database).

## Properties
Density, g cm⁻³: 6.73
Total moment, μB per atom: 0.0000

Lattice parameters (Å, degrees): 6.8403 6.8443 6.8441 90.00 90.44 90.00
Element x y z (fractional)
Ir 0.0000 0.0000 0.0000
Y 0.1625 0.3357 0.8330
Y 0.6665 0.6649 0.6626
Y 0.3335 0.3351 0.3374
Y 0.8375 0.6643 0.1670
Ru 0.5000 0.0000 0.5000
Ir 0.5000 0.5000 0.0000
Ru 0.0000 0.5000 0.5000
Y 0.1665 0.8351 0.6626
Y 0.3375 0.8357 0.1670
Y 0.6625 0.1643 0.8330
Y 0.8335 0.1649 0.3374

***

(R)
# Y4IrRu

Crystalline Y4IrRu at its relaxed geometry (PBE-GGA, the Alexandria database).

## Properties
Density, g cm⁻³: 7.68
Total moment, μB per atom: 0.0000

Lattice parameters (Å, degrees): 5.8331 5.8331 5.8331 60.00 60.00 60.00
Element x y z (fractional)
Y 0.3752 0.3752 0.8743
Ru 0.0000 0.0000 0.0000
Y 0.3752 0.8743 0.3752
Y 0.3752 0.3752 0.3752
Ir 0.7500 0.7500 0.7500
Y 0.8743 0.3752 0.3752

***

Which of them is the most stable, and which is the least stable? (P) and (R), in that order.

***

(P)
# YZrIrRu

Crystalline YZrIrRu at its relaxed geometry (PBE-GGA, the Alexandria database).

## Properties
Density, g cm⁻³: 10.43
Total moment, μB per atom: 0.0000

Lattice parameters (Å, degrees): 4.7420 4.7420 4.7420 60.00 60.00 60.00
Element x y z (fractional)
Ru 0.7500 0.7500 0.7500
Ir 0.2500 0.2500 0.2500
Y 0.5000 0.5000 0.5000
Zr 0.0000 0.0000 0.0000

***

(Q)
# YZrIrRu

Crystalline YZrIrRu at its relaxed geometry (PBE-GGA, the Alexandria database).

## Properties
Density, g cm⁻³: 10.35
Total moment, μB per atom: 0.0000

Lattice parameters (Å, degrees): 3.3735 3.3735 6.6754 90.00 90.00 90.00
Element x y z (fractional)
Y 0.5000 0.5000 0.1071
Ru 0.0000 0.0000 0.3767
Ir 0.0000 0.0000 0.8377
Zr 0.5000 0.5000 0.6064

***

Which of them is the most stable, and which is the least stable? (Q) and (P), in that order.

***

(P)
# ZnIr2Ru2

Crystalline ZnIr2Ru2 at its relaxed geometry (PBE-GGA, the Alexandria database).

## Properties
Density, g cm⁻³: 13.99
Total moment, μB per atom: 0.0000

Lattice parameters (Å, degrees): 7.4929 7.4929 2.7575 90.00 90.00 90.00
Element x y z (fractional)
Ir 0.3760 0.8760 0.0000
Ru 0.3271 0.1729 0.5000
Zn 0.5000 0.5000 0.0000
Ru 0.1729 0.6729 0.5000
Ir 0.8760 0.6240 0.0000
Zn 0.0000 0.0000 0.0000
Ru 0.6729 0.8271 0.5000
Ir 0.1240 0.3760 0.0000
Ru 0.8271 0.3271 0.5000
Ir 0.6240 0.1240 0.0000

***

(Q)
# ZnIr2Ru2

Crystalline ZnIr2Ru2 at its relaxed geometry (PBE-GGA, the Alexandria database).

## Properties
Density, g cm⁻³: 14.00
Total moment, μB per atom: 0.0000

Lattice parameters (Å, degrees): 7.5042 7.5042 2.7466 90.00 90.00 90.00
Element x y z (fractional)
Ir 0.3276 0.1724 0.5000
Zn 0.5000 0.5000 0.0000
Ru 0.3769 0.8769 0.0000
Ir 0.6724 0.8276 0.5000
Ir 0.1724 0.6724 0.5000
Zn 0.0000 0.0000 0.0000
Ir 0.8276 0.3276 0.5000
Ru 0.8769 0.6231 0.0000
Ru 0.6231 0.1231 0.0000
Ru 0.1231 0.3769 0.0000

***

Which of them is the most stable, and which is the least stable? (P) and (Q), in that order.

***

(P)
# ZnIrRu3

Crystalline ZnIrRu3 at its relaxed geometry (PBE-GGA, the Alexandria database).

## Properties
Density, g cm⁻³: 11.01
Total moment, μB per atom: 0.0000

Lattice parameters (Å, degrees): 4.3900 4.3900 4.3900 90.00 90.00 90.00
Element x y z (fractional)
Zn 0.0000 0.0000 0.0000
Ir 0.5000 0.5000 0.5000
Ru 0.0000 0.5000 0.0000
Ru 0.5000 0.0000 0.0000
Ru 0.0000 0.0000 0.5000

***

(Q)
# ZnIrRu3

Crystalline ZnIrRu3 at its relaxed geometry (PBE-GGA, the Alexandria database).

## Properties
Density, g cm⁻³: 8.98
Total moment, μB per atom: 0.3357

Lattice parameters (Å, degrees): 4.6978 4.6978 4.6978 90.00 90.00 90.00
Element x y z (fractional)
Zn 0.5000 0.5000 0.5000
Ru 0.5000 0.0000 0.0000
Ru 0.0000 0.0000 0.5000
Ru 0.0000 0.5000 0.0000
Ir 0.0000 0.0000 0.0000

***

Which of them is the most stable, and which is the least stable? (Q) and (P), in that order.